Here is Er2Al5Fe2Ag after structural relaxation from the Alexandria database. Energies are from PBE.

Cell: 4.144 9.210 9.210 Å, 90.00 90.00 90.00°
Sites, in units of the cell vectors:
Al 0.500 0.438 0.284
Al 0.500 0.562 0.716
Al 0.500 0.784 0.938
Al 0.500 0.216 0.062
Al 0.500 0.284 0.562
Al 0.500 0.938 0.216
Al 0.500 0.000 0.500
Al 0.500 0.062 0.784
Al 0.500 0.500 0.000
Al 0.500 0.716 0.438
Fe 0.000 0.901 0.401
Fe 0.000 0.099 0.599
Fe 0.000 0.599 0.901
Fe 0.000 0.401 0.099
Er 0.000 0.314 0.814
Er 0.000 0.186 0.314
Er 0.000 0.686 0.186
Er 0.000 0.814 0.686
Ag 0.000 0.500 0.500
Ag 0.000 0.000 0.000

Volume   351.5 Å³/cell
DFT formation energy   -2.87 eV per formula unit
Space-group type   P4/mbm (127)
DOS at the Fermi energy   12.21 states/eV per cell
Crystal system   tetragonal

=====

Here is GdErAlAg after structural relaxation from the Alexandria database. Energies are from PBE.

Cell: 5.155 5.155 5.155 Å, 60.00 60.00 60.00°
Sites, in units of the cell vectors:
Ag 0.750 0.750 0.750
Al 0.250 0.250 0.250
Er 0.000 0.000 0.000
Gd 0.500 0.500 0.500

Volume   96.9 Å³/cell
DFT formation energy   -1.36 eV per formula unit
Space-group type   F-43m (216)
DOS at the Fermi energy   3.12 states/eV per cell
Crystal system   cubic

=====

Here is ErHfAlAg after structural relaxation from the Alexandria database. Energies are from PBE.

Cell: 4.943 4.943 4.943 Å, 60.00 60.00 60.00°
Sites, in units of the cell vectors:
Er 0.750 0.750 0.750
Ag 0.500 0.500 0.500
Al 0.000 0.000 0.000
Hf 0.250 0.250 0.250

Volume   85.4 Å³/cell
DFT formation energy   -0.63 eV per formula unit
Space-group type   F-43m (216)
DOS at the Fermi energy   3.28 states/eV per cell
Crystal system   cubic